VASP calculation (PBE) on a geometry-optimized CdRuRh2 structure.

```
data_CdRuRh2
_chemical_formula_sum 'Cd2 Ru2 Rh4'
_cell_length_a 5.606
_cell_length_b 7.862
_cell_length_c 2.781
_cell_angle_alpha 90.00
_cell_angle_beta 90.00
_cell_angle_gamma 90.00
_symmetry_space_group_name_H-M 'P 1'
_symmetry_Int_Tables_number 1
loop_
_symmetry_equiv_pos_as_xyz
'x,y,z'
loop_
_atom_site_label
_atom_site_type_symbol
_atom_site_fract_x
_atom_site_fract_y
_atom_site_fract_z
Cd1 Cd 0.000 0.000 0.000
Cd2 Cd 0.500 0.500 0.000
Ru1 Ru 0.000 0.500 0.000
Ru2 Ru 0.500 0.000 0.000
Rh1 Rh 0.250 0.250 0.500
Rh2 Rh 0.250 0.750 0.500
Rh3 Rh 0.750 0.250 0.500
Rh4 Rh 0.750 0.750 0.500
```

Properties
**Total magnetization**: 0.0 μB/cell
**Energy**: -6.0619 eV/atom
**Space-group type**: Cmmm
**V**: 15.32 Å³/atom
**Formation energy**: 0.162 eV per atom
**Density of states at the Fermi level**: 1.288 states/eV/atom